Record 1
A geometry-optimized RbP2OsS structure. Source: the Alexandria database, functional PBE-GGA.

Calculated values
- space group = P4/mmm (123)
- formation energy without anion corrections (meV per atom) = 3080
- theoretical density (g cm⁻³) = 4.66
- size of the total moment (μB per atom) = 0.0001

Cell lengths 5.0711, 5.0711, 5.1227 Å; angles 90.00, 90.00, 90.00 degrees
Closest atoms and distances in Å follow each position.
Fractional positions:
Os 0.5000 0.5000 0.5000  4 S 3.59, 8 P 3.60
P 0.0000 0.5000 0.0000  2 Rb 2.54
P 0.5000 0.0000 0.0000  2 Rb 2.54
Rb 0.0000 0.0000 0.0000  4 P 2.54, 2 S 2.56
S 0.0000 0.0000 0.5000  2 Rb 2.56



Record 2
A geometry-optimized RbPOsS2 structure. Source: the Alexandria database, functional PBE-GGA.

Calculated values
- space group = P4/mmm (123)
- formation energy without anion corrections (meV per atom) = 109
- theoretical density (g cm⁻³) = 5.52
- size of the total moment (μB per atom) = 0.1753

Cell lengths 4.9695, 4.9695, 4.5206 Å; angles 90.00, 90.00, 90.00 degrees
Closest atoms and distances in Å follow each position.
Fractional positions:
S 0.5000 0.0000 0.0000  2 Os 2.48
S 0.0000 0.5000 0.0000  2 Os 2.48
Os 0.0000 0.0000 0.0000  2 P 2.26, 4 S 2.48
P 0.0000 0.0000 0.5000  2 Os 2.26
Rb 0.5000 0.5000 0.5000  8 S 3.36, 4 P 3.51



Record 3
A geometry-optimized RbP2OsS structure. Source: the Alexandria database, functional PBE-GGA.

Calculated values
- space group = P4/mmm (123)
- formation energy without anion corrections (meV per atom) = 176
- theoretical density (g cm⁻³) = 5.33
- size of the total moment (μB per atom) = 0.0000

Cell lengths 4.5424, 4.5424, 5.5787 Å; angles 90.00, 90.00, 90.00 degrees
Closest atoms and distances in Å follow each position.
Fractional positions:
Os 0.0000 0.0000 0.0000  4 P 2.27
P 0.5000 0.0000 0.0000  2 Os 2.27
P 0.0000 0.5000 0.0000  2 Os 2.27
Rb 0.5000 0.5000 0.5000  4 S 3.21, 8 P 3.60
S 0.0000 0.0000 0.5000  2 Os 2.79



Record 4
A geometry-optimized RbP2OsS8 structure. Source: the Alexandria database, functional PBE-GGA.

Calculated values
- space group = P-3 (147)
- formation energy without anion corrections (meV per atom) = -270
- theoretical density (g cm⁻³) = 3.32
- size of the total moment (μB per atom) = 0.0000

Cell lengths 5.8851, 5.8851, 9.8963 Å; angles 90.00, 90.00, 120.00 degrees
Closest atoms and distances in Å follow each position.
Fractional positions:
S 0.3268 0.3397 0.3677  1 P 2.11, 1 Os 2.36
S 0.9871 0.3268 0.6323  1 P 2.11, 1 Os 2.36
S 0.0129 0.6732 0.3677  1 P 2.11, 1 Os 2.36
S 0.6667 0.3333 0.1041  1 P 1.99
S 0.3397 0.0129 0.6323  1 P 2.11, 1 Os 2.36
S 0.6603 0.9871 0.3677  1 P 2.11, 1 Os 2.36
S 0.3333 0.6667 0.8959  1 P 1.99
S 0.6732 0.6603 0.6323  1 P 2.11, 1 Os 2.36
P 0.3333 0.6667 0.6948  4 S 1.99-2.11
P 0.6667 0.3333 0.3052  4 S 1.99-2.11
Os 0.0000 0.0000 0.5000  6 S 2.36
Rb 0.0000 0.0000 0.0000  6 S 3.55



Record 5
A geometry-optimized RbPOsS2 structure. Source: the Alexandria database, functional PBE-GGA.

Calculated values
- space group = P4/mmm (123)
- formation energy without anion corrections (meV per atom) = 2927
- theoretical density (g cm⁻³) = 4.40
- size of the total moment (μB per atom) = 0.1884

Cell lengths 5.1739, 5.1739, 5.2239 Å; angles 90.00, 90.00, 90.00 degrees
Closest atoms and distances in Å follow each position.
Fractional positions:
S 0.5000 0.0000 0.0000  2 Rb 2.59
S 0.0000 0.5000 0.0000  2 Rb 2.59
Os 0.5000 0.5000 0.5000  4 P 3.66, 8 S 3.68
Rb 0.0000 0.0000 0.0000  4 S 2.59, 2 P 2.61
P 0.0000 0.0000 0.5000  2 Rb 2.61



Record 6
A geometry-optimized RbYPOs2 structure. Source: the Alexandria database, functional PBE-GGA.

Calculated values
- space group = P4/mmm (123)
- ΔE_f (eV per atom) = 0.647
- theoretical density (g cm⁻³) = 8.99
- size of the total moment (μB per atom) = 0.0000

Cell lengths 4.5238, 5.2892, 4.5238 Å; angles 90.00, 90.00, 90.00 degrees
Closest atoms and distances in Å follow each position.
Fractional positions:
Rb 0.5000 0.5000 0.5000  4 Y 3.20, 8 Os 3.48
Os 0.0000 0.0000 0.5000  2 P 2.26
Os 0.5000 0.0000 0.0000  2 P 2.26
P 0.0000 0.0000 0.0000  4 Os 2.26
Y 0.0000 0.5000 0.0000  2 P 2.64



Record 7
A geometry-optimized ReP2Os structure. Source: the Alexandria database, functional PBE-GGA.

Calculated values
- space group = Cm (8)
- ΔE_f (eV per atom) = -0.083
- theoretical density (g cm⁻³) = 13.41
- size of the total moment (μB per atom) = 0.0000

Cell lengths 4.3863, 4.3863, 4.5193 Å; angles 76.11, 76.11, 40.21 degrees
Closest atoms and distances in Å follow each position.
Fractional positions:
Os 0.2524 0.2524 0.1700  5 P 2.36-2.59
P 0.9940 0.9940 0.0353  3 Os 2.36-2.45, 2 Re 2.50
P 0.7592 0.7592 0.7013  3 Re 2.35-2.41, 2 Os 2.59
Re 0.4945 0.4945 0.5933  5 P 2.35-2.50



Record 8
A geometry-optimized RePOs4 structure. Source: the Alexandria database, functional PBE-GGA.

Calculated values
- space group = F-43m (216)
- ΔE_f (eV per atom) = 1.127
- theoretical density (g cm⁻³) = 17.11
- size of the total moment (μB per atom) = 0.0000

Cell lengths 5.1207, 5.1207, 5.1207 Å; angles 60.00, 60.00, 60.00 degrees
Closest atoms and distances in Å follow each position.
Fractional positions:
Os 0.3748 0.3748 0.3748  6 Os 2.56
Os 0.3748 0.8756 0.3748  6 Os 2.56
Os 0.3748 0.3748 0.8756  6 Os 2.56
Os 0.8756 0.3748 0.3748  6 Os 2.56
P 0.7500 0.7500 0.7500  12 Os 3.00, 4 Re 3.14
Re 0.0000 0.0000 0.0000  12 Os 3.00, 4 P 3.14



Record 9
A geometry-optimized RePOs structure. Source: the Alexandria database, functional PBE-GGA.

Calculated values
- space group = P3m1 (156)
- ΔE_f (eV per atom) = 0.050
- theoretical density (g cm⁻³) = 16.40
- size of the total moment (μB per atom) = 0.0000

Cell lengths 2.8214, 2.8214, 5.9843 Å; angles 90.00, 90.00, 120.00 degrees
Closest atoms and distances in Å follow each position.
Fractional positions:
Os 0.0000 0.0000 0.0199  3 P 2.48, 3 Re 2.75
P 0.6667 0.3333 0.3314  3 Os 2.48, 3 Re 2.50
Re 0.3333 0.6667 0.6487  3 P 2.50, 3 Os 2.75



Record 10
A geometry-optimized RePOs structure. Source: the Alexandria database, functional PBE-GGA.

Calculated values
- space group = I4mm (107)
- ΔE_f (eV per atom) = -0.047
- theoretical density (g cm⁻³) = 16.77
- size of the total moment (μB per atom) = 0.0000

Cell lengths 5.2276, 5.2276, 5.2276 Å; angles 147.84, 147.84, 46.13 degrees
Closest atoms and distances in Å follow each position.
Fractional positions:
P 0.6687 0.6687 0.0000  4 Re 2.50, 4 Os 2.53
Os 0.0139 0.0139 0.0000  4 P 2.53, 4 Re 2.79
Re 0.3174 0.3174 0.0000  4 P 2.50, 4 Os 2.79



Record 11
A geometry-optimized ReP2Os structure. Source: the Alexandria database, functional PBE-GGA.

Calculated values
- space group = Cmmm (65)
- ΔE_f (eV per atom) = 0.482
- theoretical density (g cm⁻³) = 12.71
- size of the total moment (μB per atom) = 0.0000

Cell lengths 2.9459, 2.9459, 7.6986 Å; angles 90.00, 90.00, 120.98 degrees
Closest atoms and distances in Å follow each position.
Fractional positions:
P 0.0000 0.0000 0.5008  2 Os 2.41, 2 Re 2.42
P 0.0000 0.0000 0.9992  2 Os 2.41, 2 Re 2.42
Re 0.5000 0.5000 0.2500  4 P 2.42
Os 0.5000 0.5000 0.7500  4 P 2.41



Record 12
A geometry-optimized ReP2Os structure. Source: the Alexandria database, functional PBE-GGA.

Calculated values
- space group = Fm-3m (225)
- ΔE_f (eV per atom) = -0.020
- theoretical density (g cm⁻³) = 14.02
- size of the total moment (μB per atom) = 0.0000

Cell lengths 4.1874, 4.1874, 4.1874 Å; angles 60.00, 60.00, 60.00 degrees
Closest atoms and distances in Å follow each position.
Fractional positions:
P 0.2500 0.2500 0.2500  4 Os 2.56, 4 Re 2.56
P 0.7500 0.7500 0.7500  4 Re 2.56, 4 Os 2.56
Os 0.5000 0.5000 0.5000  8 P 2.56
Re 0.0000 0.0000 0.0000  8 P 2.56



Record 13
A geometry-optimized RePOs3 structure. Source: the Alexandria database, functional PBE-GGA.

Calculated values
- space group = Pm-3m (221)
- ΔE_f (eV per atom) = 2.537
- theoretical density (g cm⁻³) = 12.56
- size of the total moment (μB per atom) = 0.0002

Cell lengths 4.7052, 4.7052, 4.7052 Å; angles 90.00, 90.00, 90.00 degrees
Closest atoms and distances in Å follow each position.
Fractional positions:
Os 0.0000 0.0000 0.5000  2 Re 2.35
Os 0.0000 0.5000 0.0000  2 Re 2.35
Os 0.5000 0.0000 0.0000  2 Re 2.35
Re 0.0000 0.0000 0.0000  6 Os 2.35
P 0.5000 0.5000 0.5000  12 Os 3.33



Record 14
A geometry-optimized ReP2Os structure. Source: the Alexandria database, functional PBE-GGA.

Calculated values
- space group = Pmmm (47)
- ΔE_f (eV per atom) = 0.319
- theoretical density (g cm⁻³) = 13.03
- size of the total moment (μB per atom) = 0.0003

Cell lengths 3.7310, 2.9429, 5.0870 Å; angles 90.00, 90.00, 90.00 degrees
Closest atoms and distances in Å follow each position.
Fractional positions:
Re 0.5000 0.2500 0.2500  8 P 2.63, 4 Os 2.94
P 0.0000 0.7499 0.4694  1 P 2.23, 2 Os 2.35
P 0.0000 0.7501 0.0306  1 P 2.23, 2 Os 2.35
Os 0.5000 0.7500 0.7500  4 P 2.35



Record 15
A geometry-optimized ReP2Os structure. Source: the Alexandria database, functional PBE-GGA.

Calculated values
- space group = R-3m (166)
- ΔE_f (eV per atom) = 0.041
- theoretical density (g cm⁻³) = 13.46
- size of the total moment (μB per atom) = 0.0000

Cell lengths 7.5979, 7.5979, 7.5979 Å; angles 22.02, 22.02, 22.02 degrees
Closest atoms and distances in Å follow each position.
Fractional positions:
Re 0.2500 0.2500 0.2500  6 P 2.50
P 0.0000 0.0000 0.0000  3 Os 2.50, 3 Re 2.50
P 0.5000 0.5000 0.5000  3 Os 2.50, 3 Re 2.50
Os 0.7500 0.7500 0.7500  6 P 2.50



Record 16
A geometry-optimized ReP4Os structure. Source: the Alexandria database, functional PBE-GGA.

Calculated values
- space group = F-43m (216)
- ΔE_f (eV per atom) = 1.109
- theoretical density (g cm⁻³) = 10.19
- size of the total moment (μB per atom) = 0.0001

Cell lengths 4.8672, 4.8672, 4.8672 Å; angles 60.00, 60.00, 60.00 degrees
Closest atoms and distances in Å follow each position.
Fractional positions:
P 0.3750 0.8750 0.3750  6 P 2.43
P 0.8750 0.3750 0.3750  6 P 2.43
P 0.3750 0.3750 0.8750  6 P 2.43
P 0.3750 0.3750 0.3750  6 P 2.43
Re 0.7500 0.7500 0.7500  12 P 2.85, 4 Os 2.98
Os 0.0000 0.0000 0.0000  12 P 2.85, 4 Re 2.98



Record 17
A geometry-optimized ReP2Os structure. Source: the Alexandria database, functional PBE-GGA.

Calculated values
- space group = P4/mmm (123)
- ΔE_f (eV per atom) = -0.016
- theoretical density (g cm⁻³) = 14.02
- size of the total moment (μB per atom) = 0.0000

Cell lengths 2.9628, 2.9628, 5.9159 Å; angles 90.00, 90.00, 90.00 degrees
Closest atoms and distances in Å follow each position.
Fractional positions:
P 0.0000 0.0000 0.0056  4 Re 2.55, 4 Os 2.58
P 0.0000 0.0000 0.4944  4 Re 2.55, 4 Os 2.58
Re 0.5000 0.5000 0.2500  8 P 2.55
Os 0.5000 0.5000 0.7500  8 P 2.58



Record 18
A geometry-optimized ReP2Os structure. Source: the Alexandria database, functional PBE-GGA.

Calculated values
- space group = Amm2 (38)
- ΔE_f (eV per atom) = -0.185
- theoretical density (g cm⁻³) = 12.39
- size of the total moment (μB per atom) = 0.0000

Cell lengths 4.6639, 2.9962, 4.4633 Å; angles 70.36, 90.00, 90.00 degrees
Closest atoms and distances in Å follow each position.
Fractional positions:
P 0.0000 0.7050 0.9643  3 Re 2.33-2.42, 2 Os 2.57
P 0.5000 0.5443 0.2872  3 Os 2.32-2.43, 2 Re 2.56
Re 0.0000 0.4177 0.5396  5 P 2.33-2.56
Os 0.5000 0.8330 0.7089  5 P 2.32-2.57



Record 19
A geometry-optimized Re3POs structure. Source: the Alexandria database, functional PBE-GGA.

Calculated values
- space group = Pm-3m (221)
- ΔE_f (eV per atom) = 2.469
- theoretical density (g cm⁻³) = 12.37
- size of the total moment (μB per atom) = 0.1218

Cell lengths 4.7132, 4.7132, 4.7132 Å; angles 90.00, 90.00, 90.00 degrees
Closest atoms and distances in Å follow each position.
Fractional positions:
Re 0.0000 0.5000 0.0000  2 Os 2.36
Re 0.5000 0.0000 0.0000  2 Os 2.36
Re 0.0000 0.0000 0.5000  2 Os 2.36
P 0.5000 0.5000 0.5000  12 Re 3.33
Os 0.0000 0.0000 0.0000  6 Re 2.36



Record 20
A geometry-optimized ReP2Os structure. Source: the Alexandria database, functional PBE-GGA.

Calculated values
- space group = Cmm2 (35)
- ΔE_f (eV per atom) = 0.444
- theoretical density (g cm⁻³) = 11.02
- size of the total moment (μB per atom) = 0.0000

Cell lengths 2.7832, 2.7832, 9.7261 Å; angles 90.00, 90.00, 118.77 degrees
Closest atoms and distances in Å follow each position.
Fractional positions:
P 0.0000 0.0000 0.9436  2 Os 2.38
P 0.5000 0.5000 0.3045  2 Re 2.41
Os 0.5000 0.5000 0.7474  2 P 2.38
Re 0.0000 0.0000 0.5045  2 P 2.41